CuNiAu2O8: optimized geometry, GGA+U.

Computed properties:
symmetry = I-4m2, No. 119
total DFT energy (no corrections) = -48.2 eV for the cell shown

```
CuNiAu2O8
1.0
-3.1691 3.1691 3.5384
3.1691 -3.1691 3.5384
3.1691 3.1691 -3.5384
Cu Ni Au O
1 1 2 8
direct
0.0000 0.0000 0.0000 Cu
0.7500 0.2500 0.5000 Ni
0.2500 0.7500 0.5000 Au
0.5000 0.5000 0.0000 Au
0.0236 0.3380 0.3144 O
0.0236 0.7092 0.6856 O
0.0916 0.2784 0.8132 O
0.2908 0.9764 0.3144 O
0.4652 0.2784 0.1868 O
0.6620 0.9764 0.6856 O
0.7216 0.5348 0.8132 O
0.7216 0.9084 0.1868 O
```